1.
## Hf2ScSnPb (PBE)

Data for Hf2ScSnPb after structural relaxation.

a b c (Å): 5.344 5.267 5.344
angles (deg): 90.00 90.00 90.00
Positions (direct):
Pb 0.000 0.000 0.000
Sc 0.000 0.500 0.000
Hf 0.000 0.000 0.500
Hf 0.500 0.000 0.000
Sn 0.500 0.500 0.500

Results
space group = P4/mmm, No. 123
calculated formation energy = 0.879 eV/atom
energy = -29.55 eV/cell

2.
## HfScTlPb2 (PBE)

Data for HfScTlPb2 after structural relaxation.

a b c (Å): 5.553 5.519 5.553
angles (deg): 90.00 90.00 90.00
Positions (direct):
Pb 0.000 0.000 0.500
Pb 0.500 0.000 0.000
Sc 0.500 0.500 0.500
Tl 0.000 0.500 0.000
Hf 0.000 0.000 0.000

Results
space group = P4/mmm, No. 123
calculated formation energy = 0.545 eV/atom
energy = -23.34 eV/cell